First-principles (PBE) data for NbCl after structural relaxation, as listed in Alexandria via LeMat-Bulk.

abc: 3.208 10.232 9.614
angles: 90.00 90.00 90.00
Atoms (fractional coordinates):
Nb 0.250 0.086 0.086
Nb 0.250 0.414 0.086
Nb 0.250 0.750 0.756
Nb 0.750 0.250 0.244
Nb 0.750 0.586 0.914
Nb 0.750 0.914 0.914
Cl 0.250 0.085 0.822
Cl 0.250 0.250 0.448
Cl 0.250 0.415 0.822
Cl 0.750 0.585 0.178
Cl 0.750 0.750 0.552
Cl 0.750 0.915 0.178

Summary:
**Formation energy without anion corrections**: -0.473 eV per atom
**Calculated volume**: 26.300 A^3/atom
**Total moment**: 0.0 Bohr magnetons per cell